DFT (PBE-GGA) results for a relaxed structure of Pr2GdRh.

Its final energy is -8.007 eV per atom. As for the density of states at the Fermi level: 5.432 states/eV/cell. The value obtained for the total magnetization is 8.50 μB/f.u.

a = 3.6694 Å, b = 3.6694 Å, c = 8.5994 Å
α = 90.00°, β = 90.00°, γ = 90.00°
Space group P4/mmm (No. 123)
One atom of each set of equivalent atoms:
Pr 0.0000 0.0000 0.1942 x2
Gd 0.5000 0.5000 0.5000 x1
Rh 0.5000 0.5000 0.0000 x1